Record 1
Mo4RuBr | the Alexandria database | PBE-GGA | optimized geometry; uncorrected formation energy = 0.923 eV per atom; total magnetic moment = 0.00 μB per cell; DOS(E_F) = 1.195 states/eV/atom; volume = 17.061 A^3/atom; SG = F-43m
1.0
0.0000 3.7129 3.7129
3.7129 0.0000 3.7129
3.7129 3.7129 0.0000
Mo Ru Br
4 1 1
Direct
0.1251 0.1251 0.1251
0.1251 0.1251 0.6248
0.1251 0.6248 0.1251
0.6248 0.1251 0.1251
0.7500 0.7500 0.7500
0.5000 0.5000 0.5000


Record 2
MoRuBr | the Alexandria database | PBE-GGA | optimized geometry; uncorrected formation energy = 0.443 eV per atom; energy above the most stable polymorph in this dataset = 0.07 eV per formula unit; total magnetic moment = 0.00 μB per cell; DOS(E_F) = 0.674 states/eV/atom; volume = 16.830 A^3/atom; SG = P3m1
1.0
3.0036 0.0000 0.0000
-1.5018 2.6012 0.0000
0.0000 0.0000 6.4621
Mo Ru Br
1 1 1
Direct
0.0000 0.0000 0.0000
0.3333 0.6667 0.3027
0.6667 0.3333 0.6787


Record 3
MoRuBr2 | the Alexandria database | PBE-GGA | optimized geometry; uncorrected formation energy = 1.014 eV per atom; energy above the most stable polymorph in this dataset = 4.00 eV per formula unit; total magnetic moment = 0.00 μB per cell; DOS(E_F) = 0.853 states/eV/atom; volume = 16.669 A^3/atom; SG = Fm-3m
1.0
0.0000 3.2184 3.2184
3.2184 0.0000 3.2184
3.2184 3.2184 0.0000
Mo Ru Br
1 1 2
Direct
0.0000 0.0000 0.0000
0.5000 0.5000 0.5000
0.2500 0.2500 0.2500
0.7500 0.7500 0.7500


Record 4
MoRu2Br | the Alexandria database | PBE-GGA | optimized geometry; uncorrected formation energy = 0.884 eV per atom; energy above the most stable polymorph in this dataset = 1.56 eV per formula unit; total magnetic moment = 0.00 μB per cell; DOS(E_F) = 1.037 states/eV/atom; volume = 15.437 A^3/atom; SG = F-43m
1.0
0.0000 3.1371 3.1371
3.1371 0.0000 3.1371
3.1371 3.1371 0.0000
Mo Ru Br
1 2 1
Direct
0.0000 0.0000 0.0000
0.2500 0.2500 0.2500
0.5000 0.5000 0.5000
0.7500 0.7500 0.7500


Record 5
MoRuBr2 | the Alexandria database | PBE-GGA | optimized geometry; uncorrected formation energy = 0.295 eV per atom; energy above the most stable polymorph in this dataset = 1.12 eV per formula unit; total magnetic moment = 0.00 μB per cell; DOS(E_F) = 0.425 states/eV/atom; volume = 23.752 A^3/atom; SG = Imm2
1.0
-1.5818 1.6948 8.8596
1.5818 -1.6948 8.8596
1.5818 1.6948 -8.8596
Mo Ru Br
1 1 2
Direct
0.0000 0.0000 0.0000
0.4104 0.9104 0.5000
0.5967 0.5967 0.0000
0.8128 0.3128 0.5000


Record 6
MoRu2Br | the Alexandria database | PBE-GGA | optimized geometry; uncorrected formation energy = 0.664 eV per atom; energy above the most stable polymorph in this dataset = 0.68 eV per formula unit; total magnetic moment = 0.00 μB per cell; DOS(E_F) = 0.732 states/eV/atom; volume = 16.158 A^3/atom; SG = Cm
1.0
4.9228 -1.4845 0.0000
4.9228 1.4845 0.0000
-0.2136 0.0000 4.4222
Mo Ru Br
1 2 1
Direct
0.0000 0.0000 0.0000
0.4352 0.4352 0.4379
0.7043 0.7043 0.2467
0.2226 0.2226 0.7245


Record 7
MoRu2Br | the Alexandria database | PBE-GGA | optimized geometry; uncorrected formation energy = 0.645 eV per atom; energy above the most stable polymorph in this dataset = 0.60 eV per formula unit; total magnetic moment = 0.00 μB per cell; DOS(E_F) = 0.958 states/eV/atom; volume = 15.529 A^3/atom; SG = P2/m
1.0
2.9317 0.0000 0.0000
0.0000 4.0962 0.0000
-1.3694 0.0000 5.1727
Mo Ru Br
1 2 1
Direct
0.0000 0.0000 0.0000
0.3765 0.5000 0.7509
0.6235 0.5000 0.2491
0.0000 0.0000 0.5000


Record 8
MoRu2Br | the Alexandria database | PBE-GGA | optimized geometry; uncorrected formation energy = 0.850 eV per atom; energy above the most stable polymorph in this dataset = 1.42 eV per formula unit; total magnetic moment = 1.27 μB per cell; DOS(E_F) = 1.363 states/eV/atom; volume = 16.399 A^3/atom; SG = Cmm2
1.0
1.4586 -2.4490 0.0000
1.4586 2.4490 0.0000
0.0000 0.0000 9.1813
Mo Ru Br
1 2 1
Direct
0.0000 0.0000 0.0000
0.0000 0.0000 0.4745
0.5000 0.5000 0.2347
0.5000 0.5000 0.7382


Record 9
MoRu2Br | the Alexandria database | PBE-GGA | optimized geometry; uncorrected formation energy = 1.029 eV per atom; energy above the most stable polymorph in this dataset = 2.14 eV per formula unit; total magnetic moment = 0.00 μB per cell; DOS(E_F) = 1.746 states/eV/atom; volume = 15.925 A^3/atom; SG = Fm-3m
1.0
0.0000 3.1698 3.1698
3.1698 0.0000 3.1698
3.1698 3.1698 0.0000
Mo Ru Br
1 2 1
Direct
0.0000 0.0000 0.0000
0.2500 0.2500 0.2500
0.7500 0.7500 0.7500
0.5000 0.5000 0.5000


Record 10
MoRuBr2 | the Alexandria database | PBE-GGA | optimized geometry; uncorrected formation energy = 1.010 eV per atom; energy above the most stable polymorph in this dataset = 3.98 eV per formula unit; total magnetic moment = 3.17 μB per cell; DOS(E_F) = 1.191 states/eV/atom; volume = 19.320 A^3/atom; SG = Cmmm
1.0
1.5191 -2.8775 0.0000
1.5191 2.8775 0.0000
0.0000 0.0000 8.8399
Mo Ru Br
1 1 2
Direct
0.0000 0.0000 0.0000
0.0000 0.0000 0.5000
0.5000 0.5000 0.2432
0.5000 0.5000 0.7568


Record 11
MoRuBr2 | the Alexandria database | PBE-GGA | optimized geometry; uncorrected formation energy = 1.013 eV per atom; energy above the most stable polymorph in this dataset = 3.99 eV per formula unit; total magnetic moment = 0.25 μB per cell; DOS(E_F) = 1.558 states/eV/atom; volume = 18.475 A^3/atom; SG = P2/m
1.0
3.1548 0.0000 0.0000
0.0000 4.3606 0.0000
-0.4757 0.0000 5.3720
Mo Ru Br
1 1 2
Direct
0.0000 0.0000 0.0000
0.5000 0.0000 0.5000
0.2343 0.5000 0.2506
0.7657 0.5000 0.7494


Record 12
MoRuBr2 | the Alexandria database | PBE-GGA | optimized geometry; uncorrected formation energy = 0.990 eV per atom; energy above the most stable polymorph in this dataset = 3.90 eV per formula unit; total magnetic moment = 1.75 μB per cell; DOS(E_F) = 1.123 states/eV/atom; volume = 18.751 A^3/atom; SG = Pmmm
1.0
3.0475 0.0000 0.0000
0.0000 4.3764 0.0000
0.0000 0.0000 5.6236
Mo Ru Br
1 1 2
Direct
0.0000 0.0000 0.0000
0.5000 0.0000 0.5000
0.0000 0.5000 0.5000
0.5000 0.5000 0.0000


Record 13
MoRuBr2 | the Alexandria database | PBE-GGA | optimized geometry; uncorrected formation energy = 0.986 eV per atom; energy above the most stable polymorph in this dataset = 3.89 eV per formula unit; total magnetic moment = 0.00 μB per cell; DOS(E_F) = 1.011 states/eV/atom; volume = 16.611 A^3/atom; SG = P4/mmm
1.0
3.2148 0.0000 0.0000
0.0000 3.2148 0.0000
0.0000 0.0000 6.4292
Mo Ru Br
1 1 2
Direct
0.0000 0.0000 0.0000
0.0000 0.0000 0.5000
0.5000 0.5000 0.2469
0.5000 0.5000 0.7531


Record 14
MoRu2Br | the Alexandria database | PBE-GGA | optimized geometry; uncorrected formation energy = 0.658 eV per atom; energy above the most stable polymorph in this dataset = 0.66 eV per formula unit; total magnetic moment = 0.00 μB per cell; DOS(E_F) = 0.986 states/eV/atom; volume = 15.819 A^3/atom; SG = C2/m
1.0
4.7697 -1.4561 0.0000
4.7697 1.4561 0.0000
-0.2060 0.0000 4.5554
Mo Ru Br
1 2 1
Direct
0.0000 0.0000 0.0000
0.2754 0.2754 0.7723
0.7246 0.7246 0.2277
0.5000 0.5000 0.5000


Record 15
MoRuBr2 | the Alexandria database | PBE-GGA | optimized geometry; uncorrected formation energy = 0.213 eV per atom; energy above the most stable polymorph in this dataset = 0.80 eV per formula unit; total magnetic moment = 0.00 μB per cell; DOS(E_F) = 0.799 states/eV/atom; volume = 20.603 A^3/atom; SG = P4mm
1.0
3.0334 0.0000 0.0000
0.0000 3.0334 0.0000
0.0000 0.0000 8.9565
Mo Ru Br
1 1 2
Direct
0.0000 0.0000 0.0000
0.5000 0.5000 0.1817
0.0000 0.0000 0.3957
0.5000 0.5000 0.8040


Record 16
Mo2Ru2Br | the Alexandria database | PBE-GGA | optimized geometry; uncorrected formation energy = 0.675 eV per atom; energy above the most stable polymorph in this dataset = 1.06 eV per formula unit; total magnetic moment = 0.00 μB per cell; DOS(E_F) = 1.389 states/eV/atom; volume = 18.839 A^3/atom; SG = I4/mmm
1.0
-1.9075 1.9075 6.4716
1.9075 -1.9075 6.4716
1.9075 1.9075 -6.4716
Mo Ru Br
2 2 1
Direct
0.1227 0.1227 0.0000
0.8773 0.8773 0.0000
0.2500 0.7500 0.5000
0.7500 0.2500 0.5000
0.5000 0.5000 0.0000


Record 17
MoRuBr2 | the Alexandria database | PBE-GGA | optimized geometry; uncorrected formation energy = 1.103 eV per atom; energy above the most stable polymorph in this dataset = 4.35 eV per formula unit; total magnetic moment = 0.00 μB per cell; DOS(E_F) = 0.821 states/eV/atom; volume = 22.711 A^3/atom; SG = I-42d
1.0
-2.8461 2.8461 5.6074
2.8461 -2.8461 5.6074
2.8461 2.8461 -5.6074
Mo Ru Br
2 2 4
Direct
0.0000 0.0000 0.0000
0.7500 0.2500 0.5000
0.2500 0.7500 0.5000
0.5000 0.5000 0.0000
0.1276 0.6250 0.0026
0.3750 0.3776 0.5026
0.6224 0.1250 0.9974
0.8750 0.8724 0.4974


Record 18
MoSBr | the Alexandria database | PBE-GGA | optimized geometry; uncorrected formation energy = -0.383 eV per atom; energy above the most stable polymorph in this dataset = 1.12 eV per formula unit; total magnetic moment = 0.00 μB per cell; DOS(E_F) = 0.518 states/eV/atom; volume = 23.715 A^3/atom; SG = P2_1/m
1.0
3.2706 0.0000 0.0000
0.0000 4.3418 0.0000
-0.0097 0.0000 10.0205
Mo S Br
2 2 2
Direct
0.0003 0.2500 0.0796
0.9997 0.7500 0.9204
0.4998 0.2500 0.8973
0.5002 0.7500 0.1027
0.0010 0.2500 0.3262
0.9990 0.7500 0.6738


Record 19
MoS8Br2 | the Alexandria database | PBE-GGA | optimized geometry; uncorrected formation energy = 0.126 eV per atom; total magnetic moment = 0.00 μB per cell; DOS(E_F) = 0.293 states/eV/atom; volume = 27.709 A^3/atom; SG = P-1
1.0
3.8847 0.0000 0.0000
0.0111 4.5375 0.0000
1.0823 1.6613 17.2922
Mo S Br
1 8 2
Direct
0.0000 0.0000 0.0000
0.0479 0.6570 0.7368
0.1679 0.4823 0.0475
0.3107 0.0625 0.2834
0.4788 0.0337 0.9082
0.5212 0.9663 0.0918
0.6893 0.9375 0.7166
0.8321 0.5177 0.9525
0.9521 0.3430 0.2632
0.3694 0.9573 0.4140
0.6306 0.0427 0.5860


Record 20
MoSBr3 | the Alexandria database | PBE-GGA | optimized geometry; uncorrected formation energy = 0.888 eV per atom; energy above the most stable polymorph in this dataset = 7.02 eV per formula unit; total magnetic moment = 4.80 μB per cell; DOS(E_F) = 0.776 states/eV/atom; volume = 27.977 A^3/atom; SG = Pm-3m
1.0
5.1911 0.0000 0.0000
0.0000 5.1911 0.0000
0.0000 0.0000 5.1911
Mo S Br
1 1 3
Direct
0.0000 0.0000 0.0000
0.5000 0.5000 0.5000
0.0000 0.5000 0.5000
0.5000 0.0000 0.5000
0.5000 0.5000 0.0000


Record 21
MoSBr2 | the Alexandria database | PBE-GGA | optimized geometry; uncorrected formation energy = 0.401 eV per atom; energy above the most stable polymorph in this dataset = 2.25 eV per formula unit; total magnetic moment = 0.00 μB per cell; DOS(E_F) = 0.764 states/eV/atom; volume = 23.394 A^3/atom; SG = R-3m
1.0
1.6022 0.9251 10.5222
-1.6022 0.9251 10.5222
0.0000 -1.8501 10.5222
Mo S Br
1 1 2
Direct
0.0000 0.0000 0.0000
0.5000 0.5000 0.5000
0.3919 0.3919 0.3919
0.6081 0.6081 0.6081


Record 22
MoSBr3 | the Alexandria database | PBE-GGA | optimized geometry; uncorrected formation energy = -0.371 eV per atom; energy above the most stable polymorph in this dataset = 0.72 eV per formula unit; total magnetic moment = 0.29 μB per cell; DOS(E_F) = 0.240 states/eV/atom; volume = 31.244 A^3/atom; SG = Cmcm
1.0
3.9359 -5.7861 0.0000
3.9359 5.7861 0.0000
0.0000 0.0000 6.8597
Mo S Br
2 2 6
Direct
0.0137 0.9863 0.7500
0.9863 0.0137 0.2500
0.1955 0.8045 0.7500
0.8045 0.1955 0.2500
0.2163 0.7837 0.2500
0.2479 0.2479 0.0000
0.2479 0.2479 0.5000
0.7521 0.7521 0.0000
0.7521 0.7521 0.5000
0.7837 0.2163 0.7500


Record 23
MoSBr | the Alexandria database | PBE-GGA | optimized geometry; uncorrected formation energy = -0.525 eV per atom; energy above the most stable polymorph in this dataset = 0.69 eV per formula unit; total magnetic moment = 0.00 μB per cell; DOS(E_F) = 0.035 states/eV/atom; volume = 31.051 A^3/atom; SG = C2/m
1.0
7.5137 -1.7162 0.0000
7.5137 1.7162 0.0000
-1.0753 0.0000 7.2242
Mo S Br
2 2 2
Direct
0.1898 0.1898 0.0463
0.8102 0.8102 0.9537
0.3410 0.3410 0.1812
0.6590 0.6590 0.8188
0.0995 0.0995 0.2954
0.9005 0.9005 0.7046


Record 24
Mo2SBr | the Alexandria database | PBE-GGA | optimized geometry; uncorrected formation energy = 0.522 eV per atom; energy above the most stable polymorph in this dataset = 0.00 eV per formula unit; total magnetic moment = 0.00 μB per cell; DOS(E_F) = 0.706 states/eV/atom; volume = 15.120 A^3/atom; SG = Fm-3m
1.0
0.0000 3.1155 3.1155
3.1155 0.0000 3.1155
3.1155 3.1155 0.0000
Mo S Br
2 1 1
Direct
0.2500 0.2500 0.2500
0.7500 0.7500 0.7500
0.0000 0.0000 0.0000
0.5000 0.5000 0.5000


Record 25
MoSBr2 | the Alexandria database | PBE-GGA | optimized geometry; uncorrected formation energy = 0.762 eV per atom; energy above the most stable polymorph in this dataset = 3.69 eV per formula unit; total magnetic moment = 0.21 μB per cell; DOS(E_F) = 0.919 states/eV/atom; volume = 24.207 A^3/atom; SG = R-3m
1.0
1.5060 0.8695 12.3249
-1.5060 0.8695 12.3249
0.0000 -1.7390 12.3249
Mo S Br
1 1 2
Direct
0.0000 0.0000 0.0000
0.5000 0.5000 0.5000
0.0659 0.0659 0.0659
0.9341 0.9341 0.9341


Record 26
MoS2Br | the Alexandria database | PBE-GGA | optimized geometry; uncorrected formation energy = 0.698 eV per atom; energy above the most stable polymorph in this dataset = 3.75 eV per formula unit; total magnetic moment = 0.00 μB per cell; DOS(E_F) = 0.519 states/eV/atom; volume = 16.364 A^3/atom; SG = Fm-3m
1.0
0.0000 3.1987 3.1987
3.1987 0.0000 3.1987
3.1987 3.1987 0.0000
Mo S Br
1 2 1
Direct
0.0000 0.0000 0.0000
0.2500 0.2500 0.2500
0.7500 0.7500 0.7500
0.5000 0.5000 0.5000


Record 27
MoS2Br | the Alexandria database | PBE-GGA | optimized geometry; uncorrected formation energy = 0.608 eV per atom; energy above the most stable polymorph in this dataset = 3.39 eV per formula unit; total magnetic moment = 0.00 μB per cell; DOS(E_F) = 1.105 states/eV/atom; volume = 21.820 A^3/atom; SG = R-3m
1.0
1.4187 0.8191 12.5174
-1.4187 0.8191 12.5174
0.0000 -1.6382 12.5174
Mo S Br
1 2 1
Direct
0.0000 0.0000 0.0000
0.0632 0.0632 0.0632
0.9368 0.9368 0.9368
0.5000 0.5000 0.5000


Record 28
Mo3SBr | the Alexandria database | PBE-GGA | optimized geometry; uncorrected formation energy = 0.960 eV per atom; energy above the most stable polymorph in this dataset = 0.00 eV per formula unit; total magnetic moment = 0.00 μB per cell; DOS(E_F) = 0.916 states/eV/atom; volume = 18.322 A^3/atom; SG = Pm-3m
1.0
4.5080 0.0000 0.0000
0.0000 4.5080 0.0000
0.0000 0.0000 4.5080
Mo S Br
3 1 1
Direct
0.0000 0.0000 0.5000
0.0000 0.5000 0.0000
0.5000 0.0000 0.0000
0.0000 0.0000 0.0000
0.5000 0.5000 0.5000


Record 29
MoSBr3 | the Alexandria database | PBE-GGA | optimized geometry; uncorrected formation energy = 0.500 eV per atom; energy above the most stable polymorph in this dataset = 5.08 eV per formula unit; total magnetic moment = 0.00 μB per cell; DOS(E_F) = 0.853 states/eV/atom; volume = 25.434 A^3/atom; SG = Pm-3m
1.0
5.0287 0.0000 0.0000
0.0000 5.0287 0.0000
0.0000 0.0000 5.0287
Mo S Br
1 1 3
Direct
0.0000 0.0000 0.0000
0.5000 0.5000 0.5000
0.0000 0.0000 0.5000
0.0000 0.5000 0.0000
0.5000 0.0000 0.0000